Record 1
Computed, not measured: an optimized crystal structure of Dy2S2IBr at the PBE-GGA level of DFT.

abc: 4.1226 5.3684 9.1127
angles: 90.00 90.00 90.00
Element x y z (fractional)
1 Br 0.0000 0.0000 0.3457
2 Dy 0.5000 0.0000 0.1314
3 Dy 0.0000 0.5000 0.8797
4 I 0.5000 0.5000 0.6338
5 S 0.5000 0.5000 0.0779
6 S 0.0000 0.0000 0.9316

Output
Total magnetization   0.00 μB per cell
Energy   -32.1 eV for the cell shown

=====

Record 2
Computed, not measured: an optimized crystal structure of Ta4GePbN2 at the PBE-GGA level of DFT.

abc: 3.2714 3.2714 13.0760
angles: 90.00 90.00 120.00
Element x y z (fractional)
1 Ge 0.6667 0.3333 0.0000
2 N 0.3333 0.6667 0.2342
3 N 0.3333 0.6667 0.7658
4 Pb 0.0000 0.0000 0.5000
5 Ta 0.0000 0.0000 0.1469
6 Ta 0.6667 0.3333 0.3166
7 Ta 0.6667 0.3333 0.6834
8 Ta 0.0000 0.0000 0.8531

Output
Total magnetization   0.01 μB per cell
Energy   -75.2 eV for the cell shown

=====

Record 3
Computed, not measured: an optimized crystal structure of Ba4Ag3S at the PBE-GGA level of DFT.

abc: 6.6696 5.0296 8.5423
angles: 90.00 91.28 90.00
Element x y z (fractional)
1 Ag 0.3788 0.0000 0.4694
2 Ag 0.6122 0.5000 0.5357
3 Ag 0.1831 0.0000 0.9507
4 Ba 0.3578 0.5000 0.1775
5 Ba 0.8644 0.0000 0.2949
6 Ba 0.1319 0.5000 0.6876
7 Ba 0.6681 0.0000 0.8278
8 S 0.8038 0.5000 0.0565

Output
Energy   -25.1 eV for the cell shown

=====

- Look up the energy of the third one.
  -25.1 eV for the cell shown